(1)
Compound: BeSi2P
Source: Alexandria via LeMat-Bulk
Functional: GGA-PBEsol
Structure: relaxed

Output
Symmetry: Imm2 (44)
E above lowest polymorph (kJ per mole of atoms): 12.4
E_form (uncorrected) (eV per atom): 0.2875
M_tot (μB/f.u.): 0.0
DFT total energy (eV/atom): -5.0337

Cell and atoms, written as POSCAR:
```
BeSi2P
1.0
3.266 0.000 0.000
0.000 3.389 0.000
-1.633 -1.694 4.875
P Si Be
1 2 1
direct
0.822 0.322 0.643
0.007 0.007 0.015
0.189 0.689 0.379
0.482 0.482 0.964
```

(2)
Compound: Be2SiP
Source: Alexandria via LeMat-Bulk
Functional: GGA-PBEsol
Structure: relaxed

Output
Symmetry: R-3m (166)
E above lowest polymorph (kJ per mole of atoms): 0.0
E_form (uncorrected) (eV per atom): 0.2628
M_tot (μB/f.u.): 0.0
DFT total energy (eV/atom): -4.6218

Cell and atoms, written as POSCAR:
```
Be2SiP
1.0
-0.811 2.584 -1.185
-1.868 1.771 1.454
4.015 4.296 2.929
P Si Be
1 1 2
direct
0.500 0.500 0.500
0.000 0.000 0.000
0.243 0.243 0.271
0.757 0.757 0.729
```

(3)
Compound: Be3SiP
Source: Alexandria via LeMat-Bulk
Functional: GGA-PBEsol
Structure: relaxed

Output
Symmetry: Pm-3m (221)
E_form (uncorrected) (eV per atom): 0.9572
M_tot (μB/f.u.): 0.0
DFT total energy (eV/atom): -3.7504

Cell and atoms, written as POSCAR:
```
Be3SiP
1.0
4.171 0.000 0.000
0.000 4.171 0.000
0.000 0.000 4.171
P Si Be
1 1 3
direct
0.500 0.500 0.500
0.000 0.000 0.000
0.000 0.500 0.000
0.000 0.000 0.500
0.500 0.000 0.000
```

(4)
Compound: BeSn3P
Source: Alexandria via LeMat-Bulk
Functional: GGA-PBEsol
Structure: relaxed

Output
Symmetry: Pm-3m (221)
M_tot (μB/f.u.): 0.0
DFT total energy (eV/atom): -4.0478
DFT formation energy (meV/atom): 466

Cell and atoms, written as POSCAR:
```
BeSn3P
1.0
-4.379 1.246 -1.491
1.317 -0.799 -4.536
-1.428 -4.556 0.388
P Sn Be
1 3 1
direct
0.500 0.500 0.500
0.000 0.500 0.000
0.000 0.000 0.500
0.500 0.000 0.000
0.000 0.000 0.000
```